Record 1
DFT (GGA-PBE) results for a geometry-optimized Zr3TlHg structure.

It has space group C2/m (No. 12), with a = 16.0725 Å, b = 4.4062 Å, c = 6.4556 Å, α = 90.00°, β = 97.39° and γ = 90.00°. The distinct sites, in fractional coordinates, are Zr at (0.0054, 0.0000, 0.2515), Zr at (0.0992, 0.5000, 0.5481), Zr at (0.1976, 0.0000, 0.8507), Tl at (0.2011, 0.0000, 0.3430) and Hg at (0.0979, 0.5000, 0.0345).



Record 2
DFT (GGA-PBE) results for a geometry-optimized Zr6Tl3Hg structure.

It has space group C2/m (No. 12), with a = 13.9894 Å, b = 6.0697 Å, c = 7.9764 Å, α = 90.00°, β = 123.13° and γ = 90.00°. The distinct sites, in fractional coordinates, are Zr at (0.1259, 0.2499, 0.3774), Zr at (0.2451, 0.0000, 0.8178), Tl at (0.0000, 0.5000, 0.0000), Tl at (0.2457, 0.5000, 0.7971) and Hg at (0.0000, 0.0000, 0.5000).



Record 3
DFT (GGA-PBE) results for a geometry-optimized Zr6TlHg structure.

It has space group P4/mmm (No. 123), with a = 4.4680 Å, b = 4.4680 Å, c = 8.9189 Å, α = 90.00°, β = 90.00° and γ = 90.00°. The distinct sites, in fractional coordinates, are Zr at (0.0000, 0.0000, 0.0000), Zr at (0.0000, 0.0000, 0.5000), Zr at (0.0000, 0.5000, 0.2477), Tl at (0.5000, 0.5000, 0.5000) and Hg at (0.5000, 0.5000, 0.0000).



Record 4
DFT (GGA-PBE) results for a geometry-optimized ZrTl2Hg structure.

It has space group Pm (No. 6), with a = 3.3361 Å, b = 5.2673 Å, c = 5.6059 Å, α = 90.00°, β = 90.04° and γ = 90.00°. The distinct sites, in fractional coordinates, are Zr at (0.0000, 0.0000, 0.0000), Tl at (0.5006, 0.0000, 0.5030), Tl at (0.9992, 0.5000, 0.3320) and Hg at (0.4979, 0.5000, 0.8510).



Looking at density of states at the Fermi level for the records above, in order, we have 17.55, 22.32, 5.23, 3.50 states/eV/cell.
Looking at calculated total energy for the records above, in order, we have -114.73, -110.45, -55.00, -13.23 eV for the cell shown.